1.
This record from the Alexandria database describes Er6GaCu5 after structural relaxation. The functional is PBE.

Calculated values
- formation enthalpy at 0 K (eV/f.u.) = -3.94
- density of states at the Fermi level (states/eV per cell) = 6.12
- magnetic moment (Bohr magnetons per cell) = 0.00
- crystal system = monoclinic

a = 4.8763 Å, b = 6.9450 Å, c = 7.7115 Å
α = 90.00°, β = 71.44°, γ = 90.00°
Fractional coordinates of all 12 atoms:
Er  0.5000  0.7437  0.0000
Er  0.1679  0.7477  0.6629
Er  0.8321  0.2523  0.3371
Er  0.1679  0.2523  0.6629
Er  0.5000  0.2563  0.0000
Er  0.8321  0.7477  0.3371
Cu  0.3350  0.5000  0.3334
Cu  0.3397  0.0000  0.3251
Cu  0.0000  0.5000  0.0000
Cu  0.6603  0.0000  0.6749
Cu  0.6650  0.5000  0.6666
Ga  0.0000  0.0000  0.0000

***

2.
This record from the Alexandria database describes PmMgZn after structural relaxation. The functional is PBE.

Calculated values
- formation enthalpy at 0 K (eV/f.u.) = -0.56
- density of states at the Fermi level (states/eV per cell) = 2.47
- magnetic moment (Bohr magnetons per cell) = 0.00
- crystal system = hexagonal
- relative energy among the computed polymorphs (eV/atom) = 0.078

a = 3.4039 Å, b = 4.9232 Å, c = 4.9232 Å
α = 120.00°, β = 90.00°, γ = 90.00°
Fractional coordinates of all 3 atoms:
Zn  0.1661  0.3333  0.6667
Pm  0.6668  0.6667  0.3333
Mg  0.1671  0.0000  0.0000